[1]
4
Lattice="4.3036 0.0000 0.0000 2.1518 3.7271 0.0000 2.1518 1.2424 3.5139" Properties=species:S:1:pos:R:3 comment="AlNiRuAu | the Alexandria database | GGA-PBE | optimized geometry" delta_e_f_mev_per_atom=-153.2 energy_ev_per_cell=-22.7 pbc="T T T"
Ru 6.4555 3.7271 2.6354
Au 2.1518 1.2424 0.8785
Ni 4.3036 2.4847 1.7570
Al 0.0000 0.0000 0.0000

[2]
5
Lattice="4.7821 0.0000 0.0000 0.0000 4.6267 0.0000 0.0000 0.0000 4.7821" Properties=species:S:1:pos:R:3 comment="AlNi2AuS | the Alexandria database | GGA-PBE | optimized geometry" energy_ev_per_cell=-17.6 e_form_raw_ev_per_atom=1.019 pbc="T T T"
Ni 0.0000 0.0000 2.3911
Ni 2.3911 0.0000 0.0000
Au 0.0000 0.0000 0.0000
S 0.0000 2.3134 0.0000
Al 2.3911 2.3134 2.3911

[3]
5
Lattice="-4.1460 2.3045 1.8244 0.6033 -2.2334 4.1923 2.8687 3.8599 1.6435" Properties=species:S:1:pos:R:3 comment="AlNiAuSe2 | the Alexandria database | GGA-PBE | optimized geometry" energy_ev_per_cell=-15.9 e_form_raw_ev_per_atom=0.775 pbc="T T T"
Se -2.0730 1.1523 0.9122
Se 1.4343 1.9299 0.8217
Au 0.0000 0.0000 0.0000
Ni 0.3017 -1.1167 2.0961
Al -0.3370 1.9655 3.8301

[4]
5
Lattice="-3.0585 1.0968 3.5564 -3.2962 -1.3453 -2.4198 0.4949 -4.4426 1.7957" Properties=species:S:1:pos:R:3 comment="AlSiNiAu2 | the Alexandria database | GGA-PBE | optimized geometry" energy_ev_per_cell=-18.7 e_form_raw_ev_per_atom=0.569 pbc="T T T"
Au 0.2475 -2.2213 0.8978
Au -1.5293 0.5484 1.7782
Si -2.9299 -2.3455 1.4662
Al -1.6481 -0.6726 -1.2099
Ni 0.0000 0.0000 0.0000